Record 1
Density functional theory data (PBE) for a geometry-optimized Cu31Ag9 structure.

Cell lengths 5.320, 9.134, 10.877 Å; angles 94.30, 96.80, 90.17 degrees
Element x y z (fractional)
Cu 0.000 0.000 0.000
Cu 0.000 0.488 0.000
Cu 0.045 0.333 0.194
Cu 0.092 0.185 0.389
Cu 0.096 0.688 0.405
Cu 0.153 0.035 0.600
Cu 0.159 0.551 0.610
Cu 0.207 0.395 0.811
Cu 0.257 0.243 0.003
Cu 0.259 0.738 0.996
Cu 0.306 0.099 0.194
Cu 0.398 0.786 0.600
Cu 0.456 0.635 0.808
Cu 0.462 0.146 0.816
Cu 0.511 0.992 0.005
Cu 0.512 0.485 0.998
Cu 0.555 0.845 0.193
Cu 0.562 0.334 0.194
Cu 0.612 0.188 0.389
Cu 0.622 0.695 0.396
Cu 0.708 0.880 0.812
Cu 0.712 0.391 0.812
Cu 0.747 0.733 0.998
Cu 0.757 0.241 0.003
Cu 0.797 0.094 0.197
Cu 0.805 0.583 0.198
Cu 0.851 0.440 0.389
Cu 0.856 0.942 0.400
Cu 0.917 0.790 0.596
Cu 0.959 0.637 0.810
Cu 0.962 0.150 0.811
Ag 0.043 0.844 0.193
Ag 0.206 0.893 0.802
Ag 0.310 0.589 0.196
Ag 0.349 0.435 0.399
Ag 0.359 0.940 0.399
Ag 0.407 0.286 0.609
Ag 0.663 0.552 0.605
Ag 0.664 0.029 0.615
Ag 0.911 0.292 0.598

Summary:
V = 13.1 Å³/atom
density = 9.3 Mg/m³
formation enthalpy at 0 K = 0.077 eV per atom

Record 2
Density functional theory data (PBE) for a geometry-optimized Nb4Ge3Mo2N3 structure.

Cell lengths 5.569, 5.569, 12.892 Å; angles 102.60, 102.60, 59.97 degrees
Element x y z (fractional)
Nb 0.023 0.207 0.094
Nb 0.144 0.300 0.406
Nb 0.207 0.023 0.594
Nb 0.300 0.144 0.906
Nb 0.700 0.856 0.094
Nb 0.793 0.977 0.406
Nb 0.856 0.700 0.594
Nb 0.977 0.793 0.906
Ge 0.105 0.895 0.250
Ge 0.275 0.416 0.750
Ge 0.416 0.275 0.250
Ge 0.584 0.725 0.750
Ge 0.725 0.584 0.250
Ge 0.895 0.105 0.750
Mo 0.369 0.530 0.084
Mo 0.470 0.631 0.416
Mo 0.530 0.369 0.584
Mo 0.631 0.470 0.916
N 0.000 0.500 0.000
N 0.154 0.672 0.500
N 0.328 0.846 0.000
N 0.500 0.000 0.500
N 0.672 0.154 0.000
N 0.846 0.328 0.500

Summary:
total energy = -8.88 eV/atom
V = 14.0 Å³/atom
density = 8.2 Mg/m³
spin magnetization = 0.0 μB/cell

Record 3
Density functional theory data (PBE) for a geometry-optimized HoZn3C structure.

Cell lengths 7.213, 7.213, 7.213 Å; angles 122.24, 122.24, 86.16 degrees
Element x y z (fractional)
Ho 0.000 0.000 0.000
Ho 0.500 0.500 0.000
Zn 0.119 0.619 0.737
Zn 0.250 0.250 0.000
Zn 0.381 0.119 0.500
Zn 0.619 0.881 0.500
Zn 0.750 0.750 0.000
Zn 0.881 0.381 0.263
C 0.250 0.750 0.500
C 0.750 0.250 0.500

Summary:
total energy = -1.75 eV/atom
V = 25.6 Å³/atom
density = 4.8 Mg/m³
spin magnetization = 0.2 μB/cell

Record 4
Density functional theory data (PBE) for a geometry-optimized CoCuBi2 structure.

Cell lengths 4.935, 4.935, 4.935 Å; angles 60.00, 60.00, 60.00 degrees
Element x y z (fractional)
Co 0.000 0.000 0.000
Cu 0.250 0.250 0.250
Bi 0.500 0.500 0.500
Bi 0.750 0.750 0.750

Summary:
ΔE to the lowest computed polymorph = 0 meV per atom
V = 21.2 Å³/atom
density = 10.6 Mg/m³
spin magnetization = 1.4 μB/cell

Record 5
Density functional theory data (PBE) for a geometry-optimized Ag2F5 structure.

Cell lengths 4.605, 7.215, 10.700 Å; angles 89.81, 89.87, 76.40 degrees
Element x y z (fractional)
Ag 0.000 0.000 0.000
Ag 0.000 0.000 0.500
Ag 0.000 0.500 0.000
Ag 0.000 0.500 0.500
Ag 0.439 0.223 0.254
Ag 0.462 0.706 0.234
Ag 0.538 0.294 0.766
Ag 0.561 0.777 0.746
F 0.010 0.338 0.851
F 0.041 0.368 0.332
F 0.109 0.234 0.585
F 0.164 0.256 0.090
F 0.194 0.951 0.826
F 0.326 0.949 0.324
F 0.356 0.822 0.572
F 0.418 0.857 0.076
F 0.432 0.536 0.864
F 0.480 0.552 0.385
F 0.520 0.448 0.615
F 0.568 0.464 0.136
F 0.582 0.143 0.924
F 0.644 0.178 0.428
F 0.674 0.051 0.676
F 0.806 0.049 0.174
F 0.836 0.744 0.910
F 0.891 0.766 0.415
F 0.959 0.632 0.668
F 0.990 0.662 0.149

Summary:
total energy = -3.15 eV/atom
V = 12.3 Å³/atom
density = 6.0 Mg/m³

Record 6
Density functional theory data (PBE) for a geometry-optimized BeGaCoSn structure.

Cell lengths 4.387, 4.387, 4.387 Å; angles 60.00, 60.00, 60.00 degrees
Element x y z (fractional)
Be 0.000 0.000 0.000
Ga 0.500 0.500 0.500
Co 0.750 0.750 0.750
Sn 0.250 0.250 0.250

Summary:
ΔE to the lowest computed polymorph = 173 meV per atom
V = 14.9 Å³/atom
density = 7.1 Mg/m³
spin magnetization = 0.0 μB/cell

Record 7
Density functional theory data (PBE) for a geometry-optimized Li2Sc2In2AgAu structure.

Cell lengths 4.705, 4.705, 6.663 Å; angles 90.00, 90.00, 90.00 degrees
Element x y z (fractional)
Li 0.000 0.000 0.000
Li 0.500 0.500 0.500
Sc 0.000 0.500 0.746
Sc 0.500 0.000 0.254
In 0.000 0.500 0.247
In 0.500 0.000 0.753
Ag 0.500 0.500 0.000
Au 0.000 0.000 0.500

Summary:
total energy = -3.99 eV/atom
V = 18.4 Å³/atom
density = 7.2 Mg/m³
spin magnetization = 0.0 μB/cell

Record 8
Density functional theory data (PBE) for a geometry-optimized NbCu structure.

Cell lengths 3.931, 3.931, 3.931 Å; angles 60.00, 60.00, 60.00 degrees
Element x y z (fractional)
Nb 0.000 0.000 0.000
Cu 0.250 0.250 0.250

Summary:
V = 21.5 Å³/atom
density = 6.1 Mg/m³
spin magnetization = 0.0 μB/cell
formation enthalpy at 0 K = 1.632 eV per atom